# 1
Compound: LaCdB
Source: Alexandria via LeMat-Bulk
Functional: PBE
Structure: relaxed

Lattice parameters (Å, degrees): 4.1700 6.8469 6.8469 133.86 72.24 107.76
Last column: nearest neighbours and their distance in Å.
Fractional coordinates of all 6 atoms:
1 B 0.5116 0.1045 0.8562  1 B 1.63
2 B 0.5116 0.8009 0.5525  1 B 1.63
3 La 0.8736 0.8153 0.8418  4 B 2.77
4 La 0.1004 0.5426 0.1146  4 B 2.99-3.00
5 Cd 0.3782 0.3198 0.3373  2 B 2.45
6 Cd 0.7009 0.1429 0.5142  2 B 2.40

- relative energy among the computed polymorphs (eV per atom) = 0.290
- space-group type = Imm2
- energy of formation from the pure elements (eV per atom) = -0.059
- V (Å³ per cell) = 133.0

***

# 2
Compound: KBePbF5
Source: Alexandria via LeMat-Bulk
Functional: PBE
Structure: relaxed

Lattice parameters (Å, degrees): 6.1558 6.1558 8.5320 102.49 102.49 107.36
Last column: nearest neighbours and their distance in Å.
Fractional coordinates of all 16 atoms:
1 K 0.3536 0.6464 0.2500  5 F 2.50-2.75
2 K 0.6464 0.3536 0.7500  5 F 2.50-2.75
3 Be 0.6891 0.3109 0.2500  4 F 1.59
4 Be 0.3109 0.6891 0.7500  4 F 1.59
5 Pb 0.0000 0.0000 0.5000  6 F 2.36-2.56
6 Pb 0.0000 0.0000 0.0000  6 F 2.36-2.56
7 F 0.1015 0.8985 0.2500  2 Pb 2.36, 1 K 2.50
8 F 0.8985 0.1015 0.7500  2 Pb 2.36, 1 K 2.50
9 F 0.8934 0.3280 0.1625  1 Be 1.59
10 F 0.1066 0.6720 0.8375  1 Be 1.59
11 F 0.6720 0.1066 0.3375  1 Be 1.59
12 F 0.3280 0.8934 0.6625  1 Be 1.59
13 F 0.7417 0.5551 0.3870  1 Be 1.59
14 F 0.2583 0.4449 0.6130  1 Be 1.59
15 F 0.4449 0.2583 0.1130  1 Be 1.59
16 F 0.5551 0.7417 0.8870  1 Be 1.59

- E_form (uncorrected) (eV/atom) = -2.82
- space-group type = C2/c
- V (Å³ per cell) = 287.3

***

# 3
Compound: KAl2Rh
Source: Alexandria via LeMat-Bulk
Functional: PBE
Structure: relaxed

Lattice parameters (Å, degrees): 3.3216 3.3216 8.0298 90.00 90.00 90.00
Last column: nearest neighbours and their distance in Å.
Fractional coordinates of all 4 atoms:
1 K 0.0000 0.0000 0.5183  4 K 3.32, 5 Al 3.51-3.65, 4 Rh 3.59
2 Rh 0.5000 0.5000 0.8559  5 Al 2.48-2.53
3 Al 0.0000 0.0000 0.9549  4 Rh 2.48
4 Al 0.5000 0.5000 0.1709  1 Rh 2.53

- relative energy among the computed polymorphs (eV per atom) = 0.193
- space-group type = P4mm
- energy of formation from the pure elements (eV per atom) = -0.144
- V (Å³ per cell) = 88.6